The following is a PBE calculation of an optimized crystal structure of BeReSe2, from the Alexandria database.

Computed properties:
Total magnetic moment: 0.00 Bohr magnetons per cell
Symmetry: I-42d (122)
ΔE_f (raw): 221 meV per atom

a b c (Å): 6.4138 6.4138 6.4138
angles (deg): 129.25 129.25 74.61
Sites, in units of the cell vectors:
Be: 0.0000 0.0000 0.0000
Be: 0.7500 0.2500 0.5000
Re: 0.2500 0.7500 0.5000
Re: 0.5000 0.5000 0.0000
Se: 0.0932 0.6250 0.9682
Se: 0.3750 0.3432 0.4682
Se: 0.6568 0.1250 0.0318
Se: 0.8750 0.9068 0.5318



The following is a PBE calculation of an optimized crystal structure of BeReSe2, from the Alexandria database.

Computed properties:
Total magnetic moment: 0.00 Bohr magnetons per cell
Symmetry: Cmm2 (35)
ΔE_f (raw): 385 meV per atom

a b c (Å): 2.9711 2.9711 9.1359
angles (deg): 90.00 90.00 115.30
Sites, in units of the cell vectors:
Be: 0.0000 0.0000 0.0000
Re: 0.5000 0.5000 0.2051
Se: 0.0000 0.0000 0.4163
Se: 0.5000 0.5000 0.8371



The following is a PBE calculation of an optimized crystal structure of BeReSe2, from the Alexandria database.

Computed properties:
Total magnetic moment: 0.00 Bohr magnetons per cell
Symmetry: P4mm (99)
ΔE_f (raw): 4 meV per atom

a b c (Å): 3.0670 3.0670 7.6164
angles (deg): 90.00 90.00 90.00
Sites, in units of the cell vectors:
Be: 0.0000 0.0000 0.0000
Re: 0.5000 0.5000 0.1726
Se: 0.0000 0.0000 0.3641
Se: 0.5000 0.5000 0.8399



The following is a PBE calculation of an optimized crystal structure of BeReSe4, from the Alexandria database.

Computed properties:
Total magnetic moment: 3.48 Bohr magnetons per cell
Symmetry: F-43m (216)
ΔE_f (raw): 1555 meV per atom

a b c (Å): 5.5463 5.5463 5.5463
angles (deg): 60.00 60.00 60.00
Sites, in units of the cell vectors:
Be: 0.0000 0.0000 0.0000
Re: 0.2500 0.2500 0.2500
Se: 0.1269 0.6244 0.6244
Se: 0.6244 0.1269 0.6244
Se: 0.6244 0.6244 0.1269
Se: 0.6244 0.6244 0.6244



The following is a PBE calculation of an optimized crystal structure of BeReSe2, from the Alexandria database.

Computed properties:
Total magnetic moment: 0.00 Bohr magnetons per cell
Symmetry: C2/m (12)
ΔE_f (raw): 780 meV per atom

a b c (Å): 4.7390 4.7390 3.5334
angles (deg): 107.82 107.82 106.11
Sites, in units of the cell vectors:
Be: 0.0000 0.0000 0.0000
Re: 0.5000 0.5000 0.0000
Se: 0.0000 0.5000 0.5000
Se: 0.5000 0.0000 0.5000



The following is a PBE calculation of an optimized crystal structure of BeReSe2, from the Alexandria database.

Computed properties:
Total magnetic moment: 0.00 Bohr magnetons per cell
Symmetry: F-43m (216)
ΔE_f (raw): 1049 meV per atom

a b c (Å): 4.4259 4.4259 4.4259
angles (deg): 60.00 60.00 60.00
Sites, in units of the cell vectors:
Be: 0.0000 0.0000 0.0000
Re: 0.2500 0.2500 0.2500
Se: 0.5000 0.5000 0.5000
Se: 0.7500 0.7500 0.7500



The following is a PBE calculation of an optimized crystal structure of BeReSe2, from the Alexandria database.

Computed properties:
Total magnetic moment: 0.00 Bohr magnetons per cell
Symmetry: Pmmm (47)
ΔE_f (raw): 865 meV per atom

a b c (Å): 3.4158 3.6048 5.4923
angles (deg): 90.00 90.00 90.00
Sites, in units of the cell vectors:
Be: 0.0000 0.0000 0.0000
Re: 0.5000 0.0000 0.5000
Se: 0.0000 0.5000 0.5000
Se: 0.5000 0.5000 0.0000



The following is a PBE calculation of an optimized crystal structure of BeReSe2, from the Alexandria database.

Computed properties:
Total magnetic moment: 0.00 Bohr magnetons per cell
Symmetry: Cmmm (65)
ΔE_f (raw): 673 meV per atom

a b c (Å): 3.2881 3.2881 7.3618
angles (deg): 90.00 90.00 123.66
Sites, in units of the cell vectors:
Be: 0.0000 0.0000 0.0000
Re: 0.0000 0.0000 0.5000
Se: 0.5000 0.5000 0.2257
Se: 0.5000 0.5000 0.7743